(1)
Entry from the Alexandria database: a relaxed structure of TlCu3Ru (GGA-PBE).

Cell: 4.7362 4.7362 4.7362 Å, 90.00 90.00 90.00°
Closest atoms and distances in Å follow each position.
Positions (direct):
Tl: 0.5000 0.5000 0.5000  12 Cu 3.35
Cu: 0.0000 0.5000 0.0000  2 Ru 2.37
Cu: 0.5000 0.0000 0.0000  2 Ru 2.37
Cu: 0.0000 0.0000 0.5000  2 Ru 2.37
Ru: 0.0000 0.0000 0.0000  6 Cu 2.37

(2)
Entry from the Alexandria database: a relaxed structure of Tl2CuRu (GGA-PBE).

Cell: 8.7518 8.7518 8.7518 Å, 21.29 21.29 21.29°
Closest atoms and distances in Å follow each position.
Positions (direct):
Tl: 0.4998 0.4998 0.4998  3 Ru 2.83, 3 Cu 2.84
Tl: 0.0002 0.0002 0.0002  3 Ru 2.83, 3 Cu 2.84
Cu: 0.2500 0.2500 0.2500  6 Tl 2.84
Ru: 0.7500 0.7500 0.7500  6 Tl 2.83

(3)
Entry from the Alexandria database: a relaxed structure of Tl2CuRu (GGA-PBE).

Cell: 5.5325 5.5325 4.6412 Å, 72.29 72.29 34.25°
Closest atoms and distances in Å follow each position.
Positions (direct):
Ru: 0.2337 0.2337 0.2110  2 Cu 2.71, 7 Tl 2.81-2.98
Tl: 0.9791 0.9791 0.0660  4 Cu 2.85-2.91, 3 Ru 2.95-2.98, 1 Tl 3.14
Tl: 0.7565 0.7565 0.7027  1 Cu 2.77, 4 Ru 2.81-2.88
Cu: 0.5308 0.5308 0.5203  2 Ru 2.71, 5 Tl 2.77-2.91

(4)
Entry from the Alexandria database: a relaxed structure of Tl2CuRu (GGA-PBE).

Cell: 4.6076 4.6076 5.5470 Å, 78.52 78.52 42.28°
Closest atoms and distances in Å follow each position.
Positions (direct):
Ru: 0.2500 0.2500 0.2500  6 Tl 2.80-2.82
Tl: 0.9988 0.9988 0.0013  3 Cu 2.79-2.84, 3 Ru 2.80-2.82
Tl: 0.5012 0.5012 0.4987  3 Cu 2.79-2.84, 3 Ru 2.80-2.82
Cu: 0.7500 0.7500 0.7500  6 Tl 2.79-2.84

(5)
Entry from the Alexandria database: a relaxed structure of Tl2CuRu (GGA-PBE).

Cell: 3.4286 3.4558 7.1399 Å, 61.05 90.00 90.00°
Closest atoms and distances in Å follow each position.
Positions (direct):
Tl: 0.0000 0.4996 0.5002  4 Ru 2.89, 4 Cu 2.89, 2 Tl 3.12-3.13
Tl: 0.0000 0.0004 0.9998  4 Ru 2.89, 4 Cu 2.89, 2 Tl 3.12-3.13
Ru: 0.5000 0.7500 0.7500  8 Tl 2.89, 2 Cu 3.12
Cu: 0.5000 0.2500 0.2500  8 Tl 2.89, 2 Ru 3.12

(6)
Entry from the Alexandria database: a relaxed structure of Tl2CuRu (GGA-PBE).

Cell: 4.9904 4.9904 4.9904 Å, 128.47 128.48 75.85°
Closest atoms and distances in Å follow each position.
Positions (direct):
Ru: 0.2500 0.7500 0.5000  8 Tl 2.93, 4 Cu 3.07
Tl: 0.0001 0.0001 0.0000  4 Cu 2.93, 4 Ru 2.93, 4 Tl 3.07
Tl: 0.4999 0.4999 0.0000  4 Cu 2.93, 4 Ru 2.93, 4 Tl 3.07
Cu: 0.7500 0.2500 0.5000  8 Tl 2.93, 4 Ru 3.07

(7)
Entry from the Alexandria database: a relaxed structure of Tl2CuRu (GGA-PBE).

Cell: 7.0383 4.7617 3.3029 Å, 89.82 62.28 125.29°
Closest atoms and distances in Å follow each position.
Positions (direct):
Ru: 0.5000 0.5000 0.0000  8 Tl 2.89-2.90, 2 Cu 3.12
Tl: 0.5000 0.0000 0.5000  4 Cu 2.89-2.90, 4 Ru 2.89-2.90, 2 Tl 3.12
Tl: 0.0000 0.0000 0.0000  4 Ru 2.89-2.90, 4 Cu 2.89-2.90, 2 Tl 3.12
Cu: 0.0000 0.5000 0.5000  8 Tl 2.89-2.90, 2 Ru 3.12

(8)
Entry from the Alexandria database: a relaxed structure of Tl2CuRu (GGA-PBE).

Cell: 5.5332 5.5332 5.5332 Å, 138.19 138.19 60.61°
Closest atoms and distances in Å follow each position.
Positions (direct):
Tl: 0.0000 0.0000 0.0000  4 Cu 2.79, 4 Tl 3.10, 4 Ru 3.10
Tl: 0.2500 0.7500 0.5000  4 Ru 2.79, 4 Tl 3.10, 4 Cu 3.10
Cu: 0.5000 0.5000 0.0000  8 Tl 2.79-3.10, 4 Ru 3.10
Ru: 0.7500 0.2500 0.5000  8 Tl 2.79-3.10, 4 Cu 3.10

(9)
Entry from the Alexandria database: a relaxed structure of Tl4CuRu (GGA-PBE).

Cell: 6.0992 6.0992 6.0992 Å, 60.00 60.00 60.00°
Closest atoms and distances in Å follow each position.
Positions (direct):
Ru: 0.0000 0.0000 0.0000  12 Tl 3.58, 4 Cu 3.74
Tl: 0.3749 0.8754 0.3749  6 Tl 3.05
Tl: 0.3749 0.3749 0.3749  6 Tl 3.05
Tl: 0.8754 0.3749 0.3749  6 Tl 3.05
Tl: 0.3749 0.3749 0.8754  6 Tl 3.05
Cu: 0.7500 0.7500 0.7500  12 Tl 3.58, 4 Ru 3.74

(10)
Entry from the Alexandria database: a relaxed structure of Tl2CuRu (GGA-PBE).

Cell: 6.2030 6.2030 7.4272 Å, 65.32 65.32 90.00°
Closest atoms and distances in Å follow each position.
Positions (direct):
Tl: 0.8750 0.8795 0.7500  2 Ru 2.64, 2 Cu 2.67
Tl: 0.1205 0.6250 0.2500  2 Ru 2.64, 2 Cu 2.67
Tl: 0.6295 0.1250 0.2500  2 Ru 2.64, 2 Cu 2.67
Tl: 0.3750 0.3705 0.7500  2 Ru 2.64, 2 Cu 2.67
Ru: 0.0000 0.0000 0.0000  4 Tl 2.64
Ru: 0.7500 0.2500 0.5000  4 Tl 2.64
Cu: 0.2500 0.7500 0.5000  4 Tl 2.67
Cu: 0.5000 0.5000 0.0000  4 Tl 2.67

(11)
Entry from the Alexandria database: a relaxed structure of Tl2CuRu (GGA-PBE).

Cell: 3.2682 3.2682 7.6256 Å, 90.00 90.00 90.00°
Closest atoms and distances in Å follow each position.
Positions (direct):
Cu: 0.0000 0.0000 0.5539  4 Ru 2.56
Ru: 0.5000 0.5000 0.6998  4 Cu 2.56
Tl: 0.0000 0.0000 0.9410  1 Cu 2.95, 4 Ru 2.95, 4 Tl 3.27
Tl: 0.5000 0.5000 0.3053  4 Cu 2.99, 1 Ru 3.01, 4 Tl 3.27

(12)
Entry from the Alexandria database: a relaxed structure of Tl3CuRu (GGA-PBE).

Cell: 5.2709 5.2709 5.2709 Å, 90.00 90.00 90.00°
Closest atoms and distances in Å follow each position.
Positions (direct):
Tl: 0.5000 0.0000 0.0000  2 Ru 2.64
Tl: 0.0000 0.0000 0.5000  2 Ru 2.64
Tl: 0.0000 0.5000 0.0000  2 Ru 2.64
Cu: 0.5000 0.5000 0.5000  12 Tl 3.73
Ru: 0.0000 0.0000 0.0000  6 Tl 2.64

(13)
Entry from the Alexandria database: a relaxed structure of Tl2CuRu (GGA-PBE).

Cell: 3.6638 3.5602 5.8947 Å, 90.00 90.00 90.00°
Closest atoms and distances in Å follow each position.
Positions (direct):
Tl: 0.0000 0.0000 0.9573  1 Cu 2.65, 4 Ru 2.84
Tl: 0.5000 0.5000 0.2856  1 Ru 2.73, 4 Cu 2.87
Cu: 0.0000 0.0000 0.5085  5 Tl 2.65-2.87, 4 Ru 2.92
Ru: 0.5000 0.5000 0.7486  5 Tl 2.73-2.84, 4 Cu 2.92

(14)
Entry from the Alexandria database: a relaxed structure of TlCuRu4 (GGA-PBE).

Cell: 5.1740 5.1740 5.1740 Å, 60.00 60.00 60.00°
Closest atoms and distances in Å follow each position.
Positions (direct):
Ru: 0.8763 0.3746 0.3746  6 Ru 2.58-2.60
Ru: 0.3746 0.8763 0.3746  6 Ru 2.58-2.60
Ru: 0.3746 0.3746 0.8763  6 Ru 2.58-2.60
Ru: 0.3746 0.3746 0.3746  6 Ru 2.58-2.60
Cu: 0.0000 0.0000 0.0000  12 Ru 3.03, 4 Tl 3.17
Tl: 0.7500 0.7500 0.7500  12 Ru 3.03, 4 Cu 3.17

For the records above, the corresponding DFT formation energy values read 1.04 0.58 0.46 0.59 0.51 0.56 0.50 0.50 1.06 1.10 0.45 0.62 0.53 0.73 eV per atom.